one.
ZnHgSb SCAN single point on PBEsol structure; density of states at the Fermi level = 0.3939 states/eV/atom; space group = No. 42; calculated volume = 65.20 Å³/f.u.; total moment = 0.00 μB/f.u.
1.0
4.002 0.000 0.000
0.000 5.222 0.000
0.000 0.000 12.477
Zn Hg Sb
4 4 4
Direct
0.000 0.000 0.000
0.000 0.500 0.500
0.500 0.000 0.500
0.500 0.500 0.000
0.000 0.000 0.648
0.000 0.500 0.148
0.500 0.000 0.148
0.500 0.500 0.648
0.000 0.000 0.342
0.000 0.500 0.842
0.500 0.000 0.842
0.500 0.500 0.342

=====

two.
ZnHgSb SCAN single point on PBEsol structure; density of states at the Fermi level = 0.6014 states/eV/atom; space group = No. 216; calculated volume = 76.00 Å³/f.u.; total moment = 0.00 μB/f.u.
1.0
6.724 0.000 0.000
0.000 6.724 0.000
0.000 0.000 6.724
Zn Hg Sb
4 4 4
Direct
0.000 0.000 0.000
0.000 0.500 0.500
0.500 0.000 0.500
0.500 0.500 0.000
0.000 0.000 0.500
0.000 0.500 0.000
0.500 0.000 0.000
0.500 0.500 0.500
0.250 0.250 0.750
0.250 0.750 0.250
0.750 0.250 0.250
0.750 0.750 0.750

=====

Energy relative to the most stable one, in meV per atom: one 0; two 8

=====

one.
ScTcHg2 SCAN single point on PBEsol structure; density of states at the Fermi level = 0.6724 states/eV/atom; space group = No. 139; calculated volume = 71.55 Å³/f.u.; total moment = 0.00 μB/f.u.
1.0
4.074 0.000 0.000
0.000 4.074 0.000
0.000 0.000 8.623
Sc Tc Hg
2 2 4
Direct
0.000 0.000 0.000
0.500 0.500 0.500
0.000 0.000 0.500
0.500 0.500 0.000
0.000 0.500 0.250
0.000 0.500 0.750
0.500 0.000 0.250
0.500 0.000 0.750

=====

two.
ScTcHg2 SCAN single point on PBEsol structure; density of states at the Fermi level = 0.8171 states/eV/atom; space group = No. 225; calculated volume = 72.74 Å³/f.u.; total moment = 0.00 μB/f.u.
1.0
6.626 0.000 0.000
0.000 6.626 0.000
0.000 0.000 6.626
Sc Tc Hg
4 4 8
Direct
0.000 0.000 0.000
0.000 0.500 0.500
0.500 0.000 0.500
0.500 0.500 0.000
0.000 0.000 0.500
0.000 0.500 0.000
0.500 0.000 0.000
0.500 0.500 0.500
0.250 0.250 0.250
0.250 0.250 0.750
0.250 0.750 0.250
0.250 0.750 0.750
0.750 0.250 0.250
0.750 0.250 0.750
0.750 0.750 0.250
0.750 0.750 0.750

=====

three.
ScTcHg2 SCAN single point on PBEsol structure; density of states at the Fermi level = 0.6976 states/eV/atom; space group = No. 35; calculated volume = 75.22 Å³/f.u.; total moment = 0.00 μB/f.u.
1.0
3.500 0.000 0.000
0.000 4.732 0.000
0.000 0.000 9.085
Sc Tc Hg
2 2 4
Direct
0.000 0.000 0.000
0.500 0.500 0.000
0.000 0.500 0.214
0.500 0.000 0.214
0.000 0.000 0.457
0.000 0.500 0.735
0.500 0.000 0.735
0.500 0.500 0.457

=====

four.
ScTcHg2 SCAN single point on PBEsol structure; density of states at the Fermi level = 0.5330 states/eV/atom; space group = No. 119; calculated volume = 72.38 Å³/f.u.; total moment = 0.85 μB/f.u.
1.0
4.086 0.000 0.000
0.000 4.086 0.000
0.000 0.000 8.672
Sc Tc Hg
2 2 4
Direct
0.000 0.000 0.000
0.500 0.500 0.500
0.000 0.500 0.250
0.500 0.000 0.750
0.000 0.000 0.500
0.000 0.500 0.750
0.500 0.000 0.250
0.500 0.500 0.000

=====

Energy relative to the most stable one, in meV per atom: one 0; two 152; three 166; four 66

=====

one.
ScTcHg2 SCAN single point on PBEsol structure; density of states at the Fermi level = 0.8123 states/eV/atom; space group = No. 123; calculated volume = 72.69 Å³/f.u.; total moment = 1.87 μB/f.u.
1.0
2.989 0.000 0.000
0.000 2.989 0.000
0.000 0.000 8.133
Sc Tc Hg
1 1 2
Direct
0.000 0.000 0.000
0.000 0.000 0.500
0.500 0.500 0.260
0.500 0.500 0.740

=====

two.
ScTcHg2 SCAN single point on PBEsol structure; density of states at the Fermi level = 0.2561 states/eV/atom; space group = No. 216; calculated volume = 73.02 Å³/f.u.; total moment = 0.00 μB/f.u.
1.0
6.635 0.000 0.000
0.000 6.635 0.000
0.000 0.000 6.635
Sc Tc Hg
4 4 8
Direct
0.000 0.000 0.000
0.000 0.500 0.500
0.500 0.000 0.500
0.500 0.500 0.000
0.250 0.250 0.250
0.250 0.750 0.750
0.750 0.250 0.750
0.750 0.750 0.250
0.000 0.000 0.500
0.000 0.500 0.000
0.250 0.250 0.750
0.250 0.750 0.250
0.500 0.000 0.000
0.500 0.500 0.500
0.750 0.250 0.250
0.750 0.750 0.750

=====

Energy relative to the most stable one, in meV per atom: one 0; two 103

=====

one.
Sc2HgTe SCAN single point on PBEsol structure; density of states at the Fermi level = 0.6519 states/eV/atom; space group = No. 44; calculated volume = 87.67 Å³/f.u.; total moment = 0.00 μB/f.u.
1.0
3.889 0.000 0.000
0.000 4.389 0.000
0.000 0.000 10.273
Sc Hg Te
4 2 2
Direct
0.000 0.000 0.000
0.000 0.500 0.246
0.500 0.000 0.746
0.500 0.500 0.500
0.000 0.000 0.498
0.500 0.500 0.998
0.000 0.500 0.749
0.500 0.000 0.249

=====

two.
Sc2HgTe SCAN single point on PBEsol structure; density of states at the Fermi level = 1.2599 states/eV/atom; space group = No. 225; calculated volume = 87.22 Å³/f.u.; total moment = 0.01 μB/f.u.
1.0
7.040 0.000 0.000
0.000 7.040 0.000
0.000 0.000 7.040
Sc Hg Te
8 4 4
Direct
0.250 0.250 0.250
0.250 0.250 0.750
0.250 0.750 0.250
0.250 0.750 0.750
0.750 0.250 0.250
0.750 0.250 0.750
0.750 0.750 0.250
0.750 0.750 0.750
0.000 0.000 0.000
0.000 0.500 0.500
0.500 0.000 0.500
0.500 0.500 0.000
0.000 0.000 0.500
0.000 0.500 0.000
0.500 0.000 0.000
0.500 0.500 0.500

=====

three.
Sc2HgTe SCAN single point on PBEsol structure; density of states at the Fermi level = 0.6750 states/eV/atom; space group = No. 99; calculated volume = 95.34 Å³/f.u.; total moment = 0.00 μB/f.u.
1.0
4.058 0.000 0.000
0.000 4.058 0.000
0.000 0.000 5.788
Sc Hg Te
2 1 1
Direct
0.000 0.000 0.000
0.500 0.500 0.499
0.000 0.000 0.500
0.500 0.500 0.999

=====

four.
Sc2HgTe SCAN single point on PBEsol structure; density of states at the Fermi level = 0.7688 states/eV/atom; space group = No. 166; calculated volume = 110.48 Å³/f.u.; total moment = 0.00 μB/f.u.
1.0
3.681 0.000 0.000
-1.841 3.188 0.000
0.000 0.000 28.242
Sc Hg Te
6 3 3
Direct
0.000 0.000 0.101
0.000 0.000 0.899
0.333 0.667 0.566
0.333 0.667 0.767
0.667 0.333 0.233
0.667 0.333 0.434
0.000 0.000 0.000
0.333 0.667 0.667
0.667 0.333 0.333
0.000 0.000 0.500
0.333 0.667 0.167
0.667 0.333 0.833

=====

Energy relative to the most stable one, in meV per atom: one 140; two 218; three 0; four 537

=====

one.
ScHg2W SCAN single point on PBEsol structure; density of states at the Fermi level = 0.6927 states/eV/atom; space group = No. 47; calculated volume = 73.61 Å³/f.u.; total moment = 0.00 μB/f.u.
1.0
2.981 0.000 0.000
0.000 4.201 0.000
0.000 0.000 5.877
Sc Hg W
1 2 1
Direct
0.000 0.000 0.000
0.500 0.500 0.257
0.500 0.500 0.743
0.000 0.000 0.500

=====

two.
ScHg2W SCAN single point on PBEsol structure; density of states at the Fermi level = 0.8065 states/eV/atom; space group = No. 12; calculated volume = 75.66 Å³/f.u.; total moment = 0.00 μB/f.u.
1.0
9.866 0.000 0.000
0.000 2.953 0.000
-0.880 0.000 5.194
Sc Hg W
2 4 2
Direct
0.000 0.000 0.000
0.500 0.500 0.000
0.247 0.000 0.742
0.253 0.500 0.258
0.747 0.500 0.742
0.753 0.000 0.258
0.000 0.500 0.500
0.500 0.000 0.500

=====

three.
ScHg2W SCAN single point on PBEsol structure; density of states at the Fermi level = 0.6741 states/eV/atom; space group = No. 225; calculated volume = 74.92 Å³/f.u.; total moment = 1.13 μB/f.u.
1.0
6.692 0.000 0.000
0.000 6.692 0.000
0.000 0.000 6.692
Sc Hg W
4 8 4
Direct
0.000 0.000 0.000
0.000 0.500 0.500
0.500 0.000 0.500
0.500 0.500 0.000
0.250 0.250 0.250
0.250 0.250 0.750
0.250 0.750 0.250
0.250 0.750 0.750
0.750 0.250 0.250
0.750 0.250 0.750
0.750 0.750 0.250
0.750 0.750 0.750
0.000 0.000 0.500
0.000 0.500 0.000
0.500 0.000 0.000
0.500 0.500 0.500

=====

Energy relative to the most stable one, in meV per atom: one 0; two 110; three 172

=====

one.
YScHg SCAN single point on PBEsol structure; density of states at the Fermi level = 0.7583 states/eV/atom; space group = No. 107; calculated volume = 72.71 Å³/f.u.; total moment = 1.35 μB/f.u.
1.0
3.440 0.000 0.000
0.000 3.440 0.000
0.000 0.000 12.285
Y Sc Hg
2 2 2
Direct
0.000 0.000 0.000
0.500 0.500 0.500
0.000 0.000 0.310
0.500 0.500 0.810
0.000 0.000 0.670
0.500 0.500 0.170

=====

two.
YScHg SCAN single point on PBEsol structure; density of states at the Fermi level = 0.1798 states/eV/atom; space group = No. 62; calculated volume = 72.22 Å³/f.u.; total moment = 0.00 μB/f.u.
1.0
6.454 0.000 0.000
0.000 5.021 0.000
0.000 0.000 8.915
Y Sc Hg
4 4 4
Direct
0.188 0.250 0.078
0.312 0.750 0.578
0.688 0.250 0.422
0.812 0.750 0.922
0.013 0.250 0.706
0.487 0.750 0.206
0.513 0.250 0.794
0.987 0.750 0.294
0.221 0.250 0.406
0.279 0.750 0.906
0.721 0.250 0.094
0.779 0.750 0.594

=====

Energy relative to the most stable one, in meV per atom: one 128; two 0

=====

one.
Sc2ZnHg SCAN single point on PBEsol structure; density of states at the Fermi level = 1.4332 states/eV/atom; space group = No. 216; calculated volume = 76.40 Å³/f.u.; total moment = 1.98 μB/f.u.
1.0
6.736 0.000 0.000
0.000 6.736 0.000
0.000 0.000 6.736
Sc Zn Hg
8 4 4
Direct
0.000 0.000 0.000
0.000 0.500 0.500
0.250 0.250 0.250
0.250 0.750 0.750
0.500 0.000 0.500
0.500 0.500 0.000
0.750 0.250 0.750
0.750 0.750 0.250
0.000 0.000 0.500
0.000 0.500 0.000
0.500 0.000 0.000
0.500 0.500 0.500
0.250 0.250 0.750
0.250 0.750 0.250
0.750 0.250 0.250
0.750 0.750 0.750

=====

two.
Sc2ZnHg SCAN single point on PBEsol structure; density of states at the Fermi level = 0.6032 states/eV/atom; space group = No. 225; calculated volume = 77.91 Å³/f.u.; total moment = 0.00 μB/f.u.
1.0
6.780 0.000 0.000
0.000 6.780 0.000
0.000 0.000 6.780
Sc Zn Hg
8 4 4
Direct
0.250 0.250 0.250
0.250 0.250 0.750
0.250 0.750 0.250
0.250 0.750 0.750
0.750 0.250 0.250
0.750 0.250 0.750
0.750 0.750 0.250
0.750 0.750 0.750
0.000 0.000 0.000
0.000 0.500 0.500
0.500 0.000 0.500
0.500 0.500 0.000
0.000 0.000 0.500
0.000 0.500 0.000
0.500 0.000 0.000
0.500 0.500 0.500

=====

Energy relative to the most stable one, in meV per atom: one 415; two 0

=====

one.
Sc2Zn2Hg SCAN single point on PBEsol structure; density of states at the Fermi level = 0.6098 states/eV/atom; space group = No. 127; calculated volume = 91.81 Å³/f.u.; total moment = 0.00 μB/f.u.
1.0
7.003 0.000 0.000
0.000 7.003 0.000
0.000 0.000 3.745
Sc Zn Hg
4 4 2
Direct
0.169 0.331 0.000
0.331 0.831 0.000
0.669 0.169 0.000
0.831 0.669 0.000
0.126 0.626 0.500
0.374 0.126 0.500
0.626 0.874 0.500
0.874 0.374 0.500
0.000 0.000 0.500
0.500 0.500 0.500

=====

two.
Sc2Zn2Hg SCAN single point on PBEsol structure; density of states at the Fermi level = 0.8734 states/eV/atom; space group = No. 139; calculated volume = 99.81 Å³/f.u.; total moment = 0.01 μB/f.u.
1.0
3.442 0.000 0.000
0.000 3.442 0.000
0.000 0.000 16.848
Sc Zn Hg
4 4 2
Direct
0.000 0.000 0.105
0.000 0.000 0.895
0.500 0.500 0.395
0.500 0.500 0.605
0.000 0.500 0.250
0.000 0.500 0.750
0.500 0.000 0.250
0.500 0.000 0.750
0.000 0.000 0.500
0.500 0.500 0.000

=====

Energy relative to the most stable one, in meV per atom: one 0; two 279

=====

one.
HgSe2 SCAN single point on PBEsol structure; density of states at the Fermi level = 0.3285 states/eV/atom; space group = No. 139; calculated volume = 92.39 Å³/f.u.; total moment = 0.00 μB/f.u.
1.0
3.571 0.000 0.000
0.000 3.571 0.000
0.000 0.000 14.490
Hg Se
2 4
Direct
0.000 0.000 0.000
0.500 0.500 0.500
0.000 0.000 0.227
0.000 0.000 0.773
0.500 0.500 0.273
0.500 0.500 0.727

=====

two.
HgSe2 SCAN single point on PBEsol structure; density of states at the Fermi level = 0.2119 states/eV/atom; space group = No. 140; calculated volume = 68.81 Å³/f.u.; total moment = 0.00 μB/f.u.
1.0
6.037 0.000 0.000
0.000 6.037 0.000
0.000 0.000 7.553
Hg Se
4 8
Direct
0.000 0.000 0.250
0.000 0.000 0.750
0.500 0.500 0.250
0.500 0.500 0.750
0.137 0.363 0.000
0.137 0.637 0.500
0.363 0.137 0.500
0.363 0.863 0.000
0.637 0.137 0.000
0.637 0.863 0.500
0.863 0.363 0.500
0.863 0.637 0.000

=====

three.
HgSe2 SCAN single point on PBEsol structure; density of states at the Fermi level = 0.5590 states/eV/atom; space group = No. 164; calculated volume = 66.69 Å³/f.u.; total moment = 0.00 μB/f.u.
1.0
3.988 0.000 0.000
-1.994 3.453 0.000
0.000 0.000 4.843
Hg Se
1 2
Direct
0.000 0.000 0.000
0.333 0.667 0.317
0.667 0.333 0.683

=====

Energy relative to the most stable one, in meV per atom: one 132; two 0; three 70

=====

one.
Hg2TeSe SCAN single point on PBEsol structure; density of states at the Fermi level = 0.0504 states/eV/atom; space group = No. 160; calculated volume = 126.47 Å³/f.u.; total moment = 0.00 μB/f.u.
1.0
4.473 0.000 0.000
-2.236 3.873 0.000
0.000 0.000 21.899
Hg Te Se
6 3 3
Direct
0.000 0.000 0.000
0.000 0.000 0.491
0.333 0.667 0.158
0.333 0.667 0.667
0.667 0.333 0.333
0.667 0.333 0.824
0.000 0.000 0.872
0.333 0.667 0.538
0.667 0.333 0.205
0.000 0.000 0.370
0.333 0.667 0.037
0.667 0.333 0.703

=====

two.
Hg2TeSe SCAN single point on PBEsol structure; density of states at the Fermi level = 0.8255 states/eV/atom; space group = No. 123; calculated volume = 97.52 Å³/f.u.; total moment = 0.00 μB/f.u.
1.0
4.064 0.000 0.000
0.000 4.064 0.000
0.000 0.000 5.905
Hg Te Se
2 1 1
Direct
0.000 0.000 0.243
0.000 0.000 0.757
0.500 0.500 0.500
0.500 0.500 0.000

=====

three.
Hg2TeSe SCAN single point on PBEsol structure; density of states at the Fermi level = 0.0705 states/eV/atom; space group = No. 122; calculated volume = 126.18 Å³/f.u.; total moment = 0.00 μB/f.u.
1.0
6.322 0.000 0.000
0.000 6.322 0.000
0.000 0.000 12.629
Hg Te Se
8 4 4
Direct
0.231 0.250 0.125
0.250 0.731 0.375
0.250 0.769 0.875
0.269 0.250 0.625
0.731 0.750 0.625
0.750 0.231 0.875
0.750 0.269 0.375
0.769 0.750 0.125
0.000 0.000 0.500
0.000 0.500 0.750
0.500 0.000 0.250
0.500 0.500 0.000
0.000 0.000 0.000
0.000 0.500 0.250
0.500 0.000 0.750
0.500 0.500 0.500

=====

four.
Hg2TeSe SCAN single point on PBEsol structure; density of states at the Fermi level = 0.4665 states/eV/atom; space group = No. 6; calculated volume = 99.53 Å³/f.u.; total moment = 0.00 μB/f.u.
1.0
2.913 0.000 0.000
0.000 4.106 0.000
-1.412 0.000 8.322
Hg Te Se
2 1 1
Direct
0.000 0.000 0.000
0.403 0.500 0.777
0.142 0.500 0.269
0.278 0.000 0.540

=====

Energy relative to the most stable one, in meV per atom: one 8; two 460; three 0; four 272